# 1
A geometry-optimized PrDyTlAu structure, computed with GGA-PBE.

Output
- space-group type = P4mm, No. 99
- energy relative to the elements (kcal/mol of atoms) = -13.78

a = 3.684 Å, b = 3.684 Å, c = 7.908 Å
α = 90.00°, β = 90.00°, γ = 90.00°
Atoms (fractional coordinates):
Tl1 0.500 0.500 0.121
Pr1 0.000 0.000 0.844
Dy1 0.000 0.000 0.383
Au1 0.500 0.500 0.580

=====

# 2
A geometry-optimized LiInCuPb structure, computed with GGA-PBE.

Output
- space-group type = F-43m, No. 216
- energy relative to the elements (kcal/mol of atoms) = -0.40

a = 4.861 Å, b = 4.861 Å, c = 4.861 Å
α = 60.00°, β = 60.00°, γ = 60.00°
Atoms (fractional coordinates):
Cu1 0.250 0.250 0.250
Li1 0.750 0.750 0.750
In1 0.500 0.500 0.500
Pb1 0.000 0.000 0.000

=====

# 3
A geometry-optimized Sr2LaHg2 structure, computed with GGA-PBE.

Output
- space-group type = Cmmm, No. 65
- energy relative to the elements (kcal/mol of atoms) = -9.08

a = 3.916 Å, b = 3.992 Å, c = 11.711 Å
α = 80.19°, β = 90.00°, γ = 90.00°
Atoms (fractional coordinates):
Hg1 0.500 0.583 0.833
Hg2 0.500 0.417 0.167
Sr1 0.000 0.831 0.337
Sr2 0.000 0.169 0.663
La1 0.000 0.000 0.000

=====

# 4
A geometry-optimized KTlTc2 structure, computed with GGA-PBE.

Output
- space-group type = P4mm, No. 99
- energy relative to the elements (kcal/mol of atoms) = 11.18

a = 3.129 Å, b = 3.129 Å, c = 9.224 Å
α = 90.00°, β = 90.00°, γ = 90.00°
Atoms (fractional coordinates):
K1 0.500 0.500 0.770
Tc1 0.500 0.500 0.208
Tc2 0.000 0.000 0.074
Tl1 0.000 0.000 0.448

=====

# 5
A geometry-optimized Ba2Sr3AcSe6 structure, computed with GGA-PBE.

Output
- raw formation energy (eV per formula unit) = -24.12
- space-group type = C2/m, No. 12

a = 4.532 Å, b = 9.096 Å, c = 10.137 Å
α = 102.81°, β = 102.92°, γ = 90.00°
Atoms (fractional coordinates):
Sr1 0.168 0.833 0.335
Se1 0.004 0.755 0.007
Ba1 0.167 0.335 0.334
Se2 0.996 0.245 0.993
Se3 0.664 0.072 0.329
Se4 0.336 0.928 0.671
Ba2 0.833 0.665 0.666
Sr2 0.500 0.500 0.000
Ac1 0.500 0.000 0.000
Sr3 0.832 0.167 0.665
Se5 0.338 0.407 0.675
Se6 0.662 0.593 0.325

=====

# 6
A geometry-optimized TbPrPaO6 structure, computed with GGA-PBE.

Output
- raw formation energy (eV per formula unit) = -28.15
- space-group type = P312, No. 149

a = 4.693 Å, b = 5.939 Å, c = 5.939 Å
α = 120.00°, β = 90.00°, γ = 90.00°
Atoms (fractional coordinates):
O1 0.252 0.321 0.348
Pr1 0.500 0.667 0.333
Pa1 0.000 0.333 0.667
Tb1 0.500 0.000 0.000
O2 0.252 0.652 0.973
O3 0.748 0.027 0.348
O4 0.748 0.652 0.679
O5 0.748 0.321 0.973
O6 0.252 0.027 0.679

=====

# 7
A geometry-optimized Hf5CuRh4 structure, computed with GGA-PBE.

Output
- space-group type = P4/mmm, No. 123
- energy relative to the elements (kcal/mol of atoms) = -16.81

a = 3.290 Å, b = 3.290 Å, c = 16.065 Å
α = 90.00°, β = 90.00°, γ = 90.00°
Atoms (fractional coordinates):
Hf1 0.500 0.500 0.099
Rh1 0.000 0.000 0.799
Hf2 0.500 0.500 0.500
Rh2 0.000 0.000 0.201
Hf3 0.500 0.500 0.701
Rh3 0.000 0.000 0.401
Cu1 0.000 0.000 0.000
Hf4 0.500 0.500 0.299
Rh4 0.000 0.000 0.599
Hf5 0.500 0.500 0.901

=====

# 8
A geometry-optimized NdO4 structure, computed with GGA-PBE.

Output
- raw formation energy (eV per formula unit) = -1.52
- space-group type = Pm-3m, No. 221

a = 4.652 Å, b = 4.652 Å, c = 4.652 Å
α = 90.00°, β = 90.00°, γ = 90.00°
Atoms (fractional coordinates):
O1 0.500 0.500 0.000
Nd1 0.500 0.500 0.500
O2 0.000 0.000 0.000
O3 0.000 0.500 0.500
O4 0.500 0.000 0.500

=====

Number 1: calculated volume 107 Å³/cell, magnetic moment 0.00 μB/f.u.. Number 2: calculated volume 81 Å³/cell, magnetic moment 0.00 μB/f.u.. Number 3: calculated volume 180 Å³/cell, magnetic moment 0.11 μB/f.u.. Number 4: calculated volume 90 Å³/cell, magnetic moment 0.30 μB/f.u.. Number 5: calculated volume 397 Å³/cell, magnetic moment 0.00 μB/f.u.. Number 6: calculated volume 143 Å³/cell, magnetic moment 0.74 μB/f.u.. Number 7: calculated volume 174 Å³/cell, magnetic moment 0.00 μB/f.u.. Number 8: calculated volume 101 Å³/cell, magnetic moment 5.00 μB/f.u..